Below is Pm3Al8Ag after structural relaxation, with properties calculated at the GGA-PBE level.

Output
Its total energy is -4.269 eV per atom. The value obtained for the energy of formation is -0.3483 eV per atom.

Cell: 9.652 9.652 9.652 Å, 33.82 33.82 33.82°
Atoms (fractional coordinates):
Pm: 0.000 0.000 0.000
Pm: 0.129 0.129 0.129
Pm: 0.618 0.618 0.618
Al: 0.060 0.565 0.565
Al: 0.063 0.063 0.567
Al: 0.063 0.567 0.063
Al: 0.314 0.314 0.314
Al: 0.565 0.060 0.565
Al: 0.565 0.565 0.060
Al: 0.567 0.063 0.063
Al: 0.814 0.814 0.814
Ag: 0.489 0.489 0.489